(1)
# AcAlSi

Crystalline AcAlSi at its relaxed geometry (GGA-PBE, the Alexandria database).

a = 4.291 Å, b = 6.382 Å, c = 6.382 Å
α = 71.44°, β = 70.35°, γ = 70.35°
Positions (direct):
Ac 0.247 0.253 0.253
Ac 0.753 0.747 0.747
Al 0.000 0.170 0.830
Al 0.000 0.830 0.170
Si 0.500 0.338 0.662
Si 0.500 0.662 0.338

The calculation puts the uncorrected formation energy at -0.5471 eV per atom. The value obtained for the energy above the most stable polymorph in this dataset is 28 meV per atom. Its density of states at the Fermi level is 0.231 states/eV/atom. The calculated total energy comes out at -4.972 eV/atom. The value obtained for the volume is 25.133 Å³/atom.


(2)
# InSnRh2

Crystalline InSnRh2 at its relaxed geometry (GGA-PBE, the Alexandria database).

a = 7.142 Å, b = 7.142 Å, c = 5.892 Å
α = 52.69°, β = 52.69°, γ = 90.00°
Positions (direct):
Rh 0.115 0.625 0.250
Rh 0.375 0.365 0.750
Rh 0.635 0.125 0.250
Rh 0.875 0.885 0.750
In 0.250 0.750 0.500
In 0.500 0.500 0.000
Sn 0.000 0.000 0.000
Sn 0.750 0.250 0.500

Its density of states at the Fermi level is 0.534 states/eV/atom. The calculated total energy comes out at -5.380 eV/atom. The value obtained for the volume is 19.346 Å³/atom. Its formation energy is -0.02 eV/atom.


(3)
# LaSm6Tl6

Crystalline LaSm6Tl6 at its relaxed geometry (GGA-PBE, the Alexandria database).

a = 6.493 Å, b = 6.493 Å, c = 10.889 Å
α = 90.00°, β = 90.00°, γ = 120.00°
Positions (direct):
Sm 0.000 0.000 0.337
Sm 0.333 0.667 0.500
Sm 0.000 0.000 0.663
Sm 0.333 0.667 0.000
Sm 0.667 0.333 0.500
Sm 0.667 0.333 0.000
Tl 0.500 0.500 0.754
Tl 0.500 0.500 0.246
Tl 0.000 0.500 0.246
Tl 0.500 0.000 0.754
Tl 0.000 0.500 0.754
Tl 0.500 0.000 0.246
La 0.000 0.000 0.000

Its density of states at the Fermi level is 1.199 states/eV/atom. The calculated total energy comes out at -3.890 eV/atom. The value obtained for the volume is 30.580 Å³/atom. Its formation energy is -0.24 eV/atom.


(4)
# KReSi2

Crystalline KReSi2 at its relaxed geometry (GGA-PBE, the Alexandria database).

a = 4.356 Å, b = 4.356 Å, c = 7.741 Å
α = 65.19°, β = 65.19°, γ = 41.84°
Positions (direct):
Si 0.664 0.664 0.870
Si 0.974 0.974 0.133
Re 0.317 0.317 0.006
K 0.545 0.545 0.492

The calculation puts the uncorrected formation energy at 0.1375 eV per atom. The value obtained for the energy above the most stable polymorph in this dataset is 62 meV per atom. Its density of states at the Fermi level is 0.529 states/eV/atom. The calculated total energy comes out at -5.960 eV/atom. The value obtained for the volume is 21.882 Å³/atom.


(5)
# RbCu2GeS4

Crystalline RbCu2GeS4 at its relaxed geometry (GGA-PBE, the Alexandria database).

a = 6.328 Å, b = 6.328 Å, c = 6.252 Å
α = 120.39°, β = 120.39°, γ = 90.01°
Positions (direct):
S 0.858 0.465 0.322
S 0.143 0.143 0.678
S 0.535 0.535 0.678
S 0.465 0.858 0.322
Cu 0.250 0.750 0.500
Cu 0.750 0.250 0.500
Rb 0.000 0.000 0.000
Ge 0.500 0.500 0.000

The calculation puts the uncorrected formation energy at -0.4121 eV per atom. Its density of states at the Fermi level is 0.621 states/eV/atom. The calculated total energy comes out at -4.198 eV/atom. The value obtained for the volume is 21.862 Å³/atom.


(6)
# TiGaCu3

Crystalline TiGaCu3 at its relaxed geometry (GGA-PBE, the Alexandria database).

a = 4.723 Å, b = 4.723 Å, c = 4.723 Å
α = 90.00°, β = 90.00°, γ = 90.00°
Positions (direct):
Ga 0.500 0.500 0.500
Ti 0.000 0.000 0.000
Cu 0.000 0.000 0.500
Cu 0.000 0.500 0.000
Cu 0.500 0.000 0.000

The value obtained for the energy above the most stable polymorph in this dataset is 1284 meV per atom. Its density of states at the Fermi level is 0.824 states/eV/atom. The calculated total energy comes out at -3.529 eV/atom. The value obtained for the volume is 21.071 Å³/atom. Its formation energy is 1.11 eV/atom.


The lowest density of states at the Fermi level belongs to which entry? AcAlSi


Among the records above, which one has the lowest volume? InSnRh2


The lowest volume belongs to which entry? InSnRh2